Entry 1:
Entry from the Alexandria database: a geometry-optimized KRbF2 structure (PBE).

Cell lengths 3.358, 3.358, 6.702 Å; angles 90.00, 90.00, 90.00 degrees
Element x y z (fractional)
K: 0.000 0.000 0.000
Rb: 0.000 0.000 0.500
F: 0.500 0.500 0.241
F: 0.500 0.500 0.759

The value obtained for the energy above the most stable polymorph in this dataset is 103 meV per atom. The value obtained for the raw formation energy is -2.59 eV per atom.

Entry 2:
Entry from the Alexandria database: a geometry-optimized Pr5Cd4Pd structure (PBE).

Cell lengths 3.829, 3.829, 19.242 Å; angles 90.00, 90.00, 90.00 degrees
Element x y z (fractional)
Pr: 0.000 0.000 0.000
Pr: 0.000 0.000 0.206
Pr: 0.000 0.000 0.412
Pr: 0.000 0.000 0.588
Pr: 0.000 0.000 0.794
Cd: 0.500 0.500 0.103
Cd: 0.500 0.500 0.307
Cd: 0.500 0.500 0.693
Cd: 0.500 0.500 0.897
Pd: 0.500 0.500 0.500

The energy of formation is -0.395 eV/atom.

Entry 3:
Entry from the Alexandria database: a geometry-optimized Dy2CdSn4 structure (PBE).

Cell lengths 6.462, 6.462, 4.571 Å; angles 90.00, 90.00, 91.89 degrees
Element x y z (fractional)
Dy: 0.245 0.755 0.000
Dy: 0.755 0.245 0.000
Cd: 0.500 0.500 0.500
Sn: 0.000 0.500 0.500
Sn: 0.244 0.244 0.000
Sn: 0.500 0.000 0.500
Sn: 0.756 0.756 0.000

The energy of formation is -0.429 eV/atom. The value obtained for the energy above the most stable polymorph in this dataset is 0 meV per atom.

Entry 4:
Entry from the Alexandria database: a geometry-optimized TbPmPdPt structure (PBE).

Cell lengths 4.533, 5.694, 5.694 Å; angles 39.35, 90.00, 90.00 degrees
Element x y z (fractional)
Tb: 0.000 0.000 0.000
Pm: 0.500 0.274 0.274
Pd: 0.000 0.722 0.722
Pt: 0.500 0.549 0.549

The energy of formation is -1.052 eV/atom. The value obtained for the energy above the most stable polymorph in this dataset is 0 meV per atom.

Entry 5:
Entry from the Alexandria database: a geometry-optimized CuAg3C structure (PBE).

Cell lengths 4.274, 4.274, 4.274 Å; angles 90.00, 90.00, 90.00 degrees
Element x y z (fractional)
Cu: 0.000 0.000 0.000
Ag: 0.000 0.500 0.500
Ag: 0.500 0.000 0.500
Ag: 0.500 0.500 0.000
C: 0.500 0.500 0.500

The energy of formation is 0.828 eV/atom. The value obtained for the energy above the most stable polymorph in this dataset is 0 meV per atom.

Entry 6:
Entry from the Alexandria database: a geometry-optimized Np3PbS6 structure (PBE).

Cell lengths 11.034, 4.099, 11.441 Å; angles 90.00, 108.02, 90.00 degrees
Element x y z (fractional)
Np: 0.016 0.250 0.169
Np: 0.188 0.750 0.518
Np: 0.339 0.250 0.926
Np: 0.661 0.750 0.074
Np: 0.812 0.250 0.482
Np: 0.984 0.750 0.831
Pb: 0.410 0.250 0.320
Pb: 0.590 0.750 0.680
S: 0.037 0.250 0.413
S: 0.114 0.250 0.975
S: 0.195 0.750 0.273
S: 0.239 0.750 0.775
S: 0.375 0.250 0.558
S: 0.423 0.750 0.091
S: 0.577 0.250 0.909
S: 0.625 0.750 0.442
S: 0.761 0.250 0.225
S: 0.805 0.250 0.727
S: 0.886 0.750 0.025
S: 0.963 0.750 0.587

The value obtained for the raw formation energy is -1.17 eV per atom.